Compound: V4Ga2O9
Source: the Alexandria database
Functional: PBE with a Hubbard U
Structure: relaxed

Summary:
**Size of the total moment**: 16.0 μB/cell
**Total DFT energy (no corrections)**: -0.270 hartree per atom

The structure in POSCAR format:
```
V4Ga2O9
1.0
-0.8393 2.1087 -4.5865
-1.0808 -2.9754 -4.0242
-13.5889 0.9631 2.9286
V O Ga
8 18 4
Cartesian
-7.1922 0.1754 -1.4579
-5.5323 -0.2779 -4.8229
-1.5224 -0.5610 -5.6881
-8.3167 -0.0790 -4.2243
-12.3273 0.2064 -3.3608
-13.9866 0.6574 0.0060
-9.9766 0.3742 -0.8593
-3.1817 -0.1101 -2.3214
-13.7922 -1.2457 -2.8731
-8.6591 -1.2774 -1.0035
-6.6736 -0.8367 -3.1307
-1.5285 -0.8361 -1.2172
-2.1155 -1.1290 -3.8400
-7.2580 -1.0740 -5.7602
-4.9933 0.2625 -6.6712
-13.9804 0.9325 -4.4650
-4.3080 0.8244 -3.6837
-8.8353 0.9331 -2.5514
-3.6476 0.8690 -0.6368
-13.3935 1.2254 -1.8422
-10.5156 -0.1661 0.9890
-11.2010 -0.7280 -1.9984
-11.8613 -0.7726 -5.0453
-6.8499 1.3738 -4.6786
-8.2509 1.1704 0.0781
-1.7167 1.3421 -2.8090
-3.9186 -0.7249 -8.1784
-5.6345 2.4463 -3.5529
-11.5903 0.8213 2.4962
-9.8744 -2.3499 -2.1292
```